Record 1
The following is a PBE-GGA calculation of an optimized crystal structure of K2Cd3SnAs4, from Alexandria via LeMat-Bulk.

## Properties
crystal system = monoclinic
formation energy = -31.3 kJ per mole of atoms
DOS at the Fermi energy = 0.12 states/eV/atom
calculated total energy = -0.1131 hartree per atom

Structure (POSCAR):
```
K2Cd3SnAs4
1.0
9.436 -0.012 0.028
8.366 4.363 0.028
3.205 0.783 7.036
Sn As K Cd
1 4 2 3
Direct
0.315 0.315 0.029
0.865 0.865 0.799
0.368 0.368 0.303
0.630 0.630 0.701
0.153 0.153 0.185
0.509 0.509 0.486
0.003 0.003 0.002
0.803 0.803 0.518
0.181 0.181 0.503
0.679 0.679 0.974
```

=====

Record 2
The following is a PBE-GGA calculation of an optimized crystal structure of KCdSnAs2, from Alexandria via LeMat-Bulk.

## Properties
crystal system = monoclinic
formation energy = -20.8 kJ per mole of atoms
DOS at the Fermi energy = 0.22 states/eV/atom
calculated total energy = -0.1205 hartree per atom

Structure (POSCAR):
```
KCdSnAs2
1.0
5.003 0.000 0.000
-2.502 6.934 0.059
0.000 -1.616 9.421
As Cd Sn K
4 2 2 2
Direct
0.868 0.736 0.059
0.601 0.202 0.321
0.132 0.264 0.941
0.399 0.798 0.679
0.664 0.328 0.068
0.336 0.672 0.932
0.945 0.891 0.795
0.055 0.109 0.205
0.339 0.678 0.325
0.661 0.322 0.675
```

=====

Record 3
The following is a PBE-GGA calculation of an optimized crystal structure of KSrCdAs, from Alexandria via LeMat-Bulk.

## Properties
crystal system = cubic
formation energy = -44.2 kJ per mole of atoms
calculated total energy = -0.0935 hartree per atom

Structure (POSCAR):
```
KSrCdAs
1.0
-0.988 4.879 -2.531
-3.446 0.221 -4.389
-4.999 2.440 0.494
Cd K As Sr
1 1 1 1
Direct
0.000 0.000 0.000
0.750 0.750 0.750
0.500 0.500 0.500
0.250 0.250 0.250
```

=====

Record 4
The following is a PBE-GGA calculation of an optimized crystal structure of K2SrCdAs2, from Alexandria via LeMat-Bulk.

## Properties
crystal system = orthorhombic
formation energy = -59.0 kJ per mole of atoms
calculated total energy = -0.1088 hartree per atom

Structure (POSCAR):
```
K2SrCdAs2
1.0
-5.334 4.335 2.210
-4.350 -5.736 0.754
7.188 -0.121 5.789
K Sr As Cd
4 2 4 2
Direct
0.121 0.316 0.631
0.490 0.184 0.369
0.879 0.684 0.369
0.510 0.816 0.631
0.000 0.750 0.000
0.000 0.250 0.000
0.373 0.598 0.197
0.176 0.902 0.803
0.627 0.402 0.803
0.824 0.098 0.197
0.500 0.750 0.000
0.500 0.250 0.000
```

=====

Record 5
The following is a PBE-GGA calculation of an optimized crystal structure of KTaCdAs2, from Alexandria via LeMat-Bulk.

## Properties
crystal system = tetragonal
formation energy = 115.7 kJ per mole of atoms
DOS at the Fermi energy = 1.13 states/eV/atom
calculated total energy = -0.1262 hartree per atom

Structure (POSCAR):
```
KTaCdAs2
1.0
5.320 0.000 0.000
0.000 5.354 0.000
0.000 0.000 5.320
Ta Cd K As
1 1 1 2
Direct
0.000 0.500 0.000
0.000 0.000 0.000
0.500 0.500 0.500
0.000 0.000 0.500
0.500 0.000 0.000
```

=====

Record 6
The following is a PBE-GGA calculation of an optimized crystal structure of KCdTe3As, from Alexandria via LeMat-Bulk.

## Properties
crystal system = monoclinic
formation energy from raw total energies = -433 meV per atom
calculated total energy = -0.1144 hartree per atom

Structure (POSCAR):
```
KCdTe3As
1.0
-4.039 1.259 1.166
-3.428 -3.683 -7.898
-0.218 -7.636 7.490
K Te Cd As
2 6 2 2
Direct
0.750 0.788 0.746
0.250 0.212 0.254
0.250 0.764 0.462
0.750 0.462 0.143
0.750 0.876 0.109
0.250 0.538 0.857
0.750 0.236 0.538
0.250 0.124 0.891
0.250 0.085 0.618
0.750 0.915 0.382
0.250 0.669 0.115
0.750 0.331 0.885
```

=====

Record 7
The following is a PBE-GGA calculation of an optimized crystal structure of K2TlCdAs2, from Alexandria via LeMat-Bulk.

## Properties
crystal system = orthorhombic
formation energy = -31.4 kJ per mole of atoms
DOS at the Fermi energy = 0.18 states/eV/atom
calculated total energy = -0.1024 hartree per atom

Structure (POSCAR):
```
K2TlCdAs2
1.0
-2.059 6.458 1.493
-3.602 0.206 -5.857
-3.372 -6.168 5.897
As Cd K Tl
4 2 4 2
Direct
0.169 0.896 0.793
0.831 0.104 0.207
0.376 0.604 0.207
0.624 0.396 0.793
0.500 0.750 0.000
0.500 0.250 0.000
0.419 0.173 0.346
0.581 0.827 0.654
0.926 0.673 0.346
0.074 0.327 0.654
0.000 0.250 0.000
0.000 0.750 0.000
```

=====

Record 8
The following is a PBE-GGA calculation of an optimized crystal structure of K2ZnCdAs2, from Alexandria via LeMat-Bulk.

## Properties
crystal system = orthorhombic
formation energy = -41.4 kJ per mole of atoms
DOS at the Fermi energy = 0.02 states/eV/atom
calculated total energy = -0.0996 hartree per atom

Structure (POSCAR):
```
K2ZnCdAs2
1.0
-6.288 0.213 -0.932
-0.524 -5.933 2.179
2.409 5.652 6.741
K Cd Zn As
4 2 2 4
Direct
0.582 0.826 0.653
0.071 0.326 0.653
0.418 0.174 0.347
0.929 0.674 0.347
0.000 0.250 0.000
0.000 0.750 0.000
0.500 0.250 0.000
0.500 0.750 0.000
0.630 0.401 0.803
0.173 0.901 0.803
0.827 0.099 0.197
0.370 0.599 0.197
```